A relaxed NiINO2 crystal, computed with PBE+U.

Cell: 3.7955 3.7955 3.9402 Å, 90.00 90.00 90.00°
Element x y z (fractional)
Ni  0.0000  0.0000  0.0000
I  0.5000  0.5000  0.5000
N  0.0000  0.0000  0.5000
O  0.0000  0.5000  0.0000
O  0.5000  0.0000  0.0000

Output
Space group = P4/mmm, No. 123
Calculated total energy = -3.7543 eV per atom